# 1
Entry from Alexandria: CuPt2W after structural relaxation (GGA-PBE). Values from VASP.

## Properties
Magnetic moment ... 0.0 μB/cell
D(E_F) ... 2.99 states/eV per cell
Raw total energy ... -7.551 eV/atom
Energy relative to the elements ... -0.2678 eV/atom
Space-group type ... P4/mmm (123)
ΔE to the lowest computed polymorph ... 0.00 kcal/mol of atoms

```
&SYSTEM
  ibrav = 0, nat = 4, ntyp = 3
/
ATOMIC_SPECIES
Pt 195.08 Pt.upf
W 183.84 W.upf
Cu 63.55 Cu.upf
CELL_PARAMETERS angstrom
2.811 0.000 0.000
0.000 2.811 0.000
0.000 0.000 7.492
ATOMIC_POSITIONS angstrom
Pt 0.000 0.000 5.658
W 1.406 1.406 3.746
Pt 0.000 0.000 1.834
Cu 1.406 1.406 0.000
```

# 2
Entry from Alexandria: RbSrAs2Se after structural relaxation (GGA-PBE). Values from VASP.

## Properties
Magnetic moment ... 1.3 μB/cell
D(E_F) ... 5.56 states/eV per cell
Raw total energy ... -3.043 eV/atom
Space-group type ... P4/mmm (123)
E_form (uncorrected) ... 0.0437 eV/atom
ΔE to the lowest computed polymorph ... 0.00 kcal/mol of atoms

```
&SYSTEM
  ibrav = 0, nat = 5, ntyp = 4
/
ATOMIC_SPECIES
Rb 85.47 Rb.upf
As 74.92 As.upf
Se 78.96 Se.upf
Sr 87.62 Sr.upf
CELL_PARAMETERS angstrom
5.854 0.000 0.000
0.000 5.854 0.000
0.000 0.000 5.865
ATOMIC_POSITIONS angstrom
Rb 2.927 2.927 2.932
As 0.000 2.927 0.000
As 2.927 0.000 0.000
Se 0.000 0.000 2.932
Sr 0.000 0.000 0.000
```

# 3
Entry from Alexandria: KSi2Pt after structural relaxation (GGA-PBE). Values from VASP.

## Properties
Magnetic moment ... 0.0 μB/cell
D(E_F) ... 1.46 states/eV per cell
Raw total energy ... -4.640 eV/atom
Space-group type ... Pm (6)
E_form (uncorrected) ... -0.1439 eV/atom

```
&SYSTEM
  ibrav = 0, nat = 4, ntyp = 3
/
ATOMIC_SPECIES
K 39.10 K.upf
Pt 195.08 Pt.upf
Si 28.09 Si.upf
CELL_PARAMETERS angstrom
-3.374 1.153 -0.787
-1.367 -3.061 1.377
-0.437 2.999 6.263
ATOMIC_POSITIONS angstrom
K -1.063 -0.462 3.878
Pt -2.947 1.433 6.257
Si -0.578 2.398 5.986
Si -1.930 0.690 0.815
```

# 4
Entry from Alexandria: Er2AgPt2 after structural relaxation (GGA-PBE). Values from VASP.

## Properties
Magnetic moment ... 0.0 μB/cell
D(E_F) ... 4.06 states/eV per cell
Raw total energy ... -5.838 eV/atom
Energy relative to the elements ... -1.0266 eV/atom
Space-group type ... P4/mbm (127)

```
&SYSTEM
  ibrav = 0, nat = 10, ntyp = 3
/
ATOMIC_SPECIES
Ag 107.87 Ag.upf
Pt 195.08 Pt.upf
Er 167.26 Er.upf
CELL_PARAMETERS angstrom
3.668 0.000 0.000
0.000 7.616 0.000
0.000 0.000 7.616
ATOMIC_POSITIONS angstrom
Ag 0.000 3.808 3.808
Ag 0.000 0.000 0.000
Pt 0.000 1.014 2.794
Pt 0.000 4.822 1.014
Pt 0.000 2.794 6.602
Er 1.834 6.347 2.539
Er 1.834 2.539 1.269
Pt 0.000 6.602 4.822
Er 1.834 1.269 5.077
Er 1.834 5.077 6.347
```

# 5
Entry from Alexandria: Cu2AgP after structural relaxation (GGA-PBE). Values from VASP.

## Properties
Magnetic moment ... 0.0 μB/cell
D(E_F) ... 1.59 states/eV per cell
Raw total energy ... -3.977 eV/atom
Energy relative to the elements ... 0.1359 eV/atom
Space-group type ... P2/m (10)

```
&SYSTEM
  ibrav = 0, nat = 4, ntyp = 3
/
ATOMIC_SPECIES
Cu 63.55 Cu.upf
Ag 107.87 Ag.upf
P 30.97 P.upf
CELL_PARAMETERS angstrom
-2.238 -0.999 3.044
0.828 -2.795 -0.309
3.940 0.839 3.171
ATOMIC_POSITIONS angstrom
Cu 0.215 -0.701 -0.072
Cu 2.169 -0.278 1.503
Ag 2.457 -1.967 3.669
P 0.073 -0.989 2.238
```

# 6
Entry from Alexandria: Mg6GeBi3 after structural relaxation (GGA-PBE). Values from VASP.

## Properties
Magnetic moment ... 0.0 μB/cell
D(E_F) ... 3.91 states/eV per cell
Raw total energy ... -2.706 eV/atom
Energy relative to the elements ... -0.1231 eV/atom
Space-group type ... P2_1/c (14)

```
&SYSTEM
  ibrav = 0, nat = 20, ntyp = 3
/
ATOMIC_SPECIES
Bi 208.98 Bi.upf
Mg 24.30 Mg.upf
Ge 72.64 Ge.upf
CELL_PARAMETERS angstrom
-1.377 -1.978 4.432
7.223 1.074 2.723
-4.119 11.868 6.246
ATOMIC_POSITIONS angstrom
Bi 2.923 -0.452 3.577
Mg -2.874 9.425 5.460
Ge 0.000 0.000 0.000
Mg -3.522 10.085 8.468
Bi 2.964 8.425 9.693
Bi 3.025 3.081 3.342
Mg 0.828 5.378 3.734
Bi -1.298 7.884 10.059
Mg 3.393 4.809 7.280
Mg 1.102 2.889 5.536
Mg 1.084 11.593 7.833
Mg 0.899 5.587 9.666
Mg 4.601 1.539 7.940
Ge 0.864 5.482 6.700
Mg 5.249 0.880 4.932
Bi -1.237 2.539 3.707
Mg 0.643 -0.629 5.567
Mg -1.666 6.155 6.120
Bi -2.059 5.934 3.123
Mg 0.625 8.075 7.865
```

# 7
Entry from Alexandria: Cu2IrAu after structural relaxation (GGA-PBE). Values from VASP.

## Properties
Magnetic moment ... 0.0 μB/cell
D(E_F) ... 3.06 states/eV per cell
Raw total energy ... -4.992 eV/atom
Energy relative to the elements ... 0.0908 eV/atom
Space-group type ... R3m (160)

```
&SYSTEM
  ibrav = 0, nat = 4, ntyp = 3
/
ATOMIC_SPECIES
Cu 63.55 Cu.upf
Au 196.97 Au.upf
Ir 192.22 Ir.upf
CELL_PARAMETERS angstrom
-1.935 -1.940 -0.257
0.499 -2.250 -1.504
2.648 -5.456 6.525
ATOMIC_POSITIONS angstrom
Cu 0.271 -2.370 1.118
Cu 1.898 -4.483 4.819
Au 0.609 -4.826 2.387
Ir 1.689 -8.247 5.347
```

# 8
Entry from Alexandria: ZrRe3Pb after structural relaxation (GGA-PBE). Values from VASP.

## Properties
Magnetic moment ... 3.4 μB/cell
D(E_F) ... 5.48 states/eV per cell
Raw total energy ... -7.499 eV/atom
Energy relative to the elements ... 2.4210 eV/atom
Space-group type ... Pm-3m (221)
ΔE to the lowest computed polymorph ... 0.00 kcal/mol of atoms

```
&SYSTEM
  ibrav = 0, nat = 5, ntyp = 3
/
ATOMIC_SPECIES
Re 186.21 Re.upf
Pb 207.20 Pb.upf
Zr 91.22 Zr.upf
CELL_PARAMETERS angstrom
-0.705 4.302 2.262
-2.376 -2.299 3.631
4.240 -0.573 2.411
ATOMIC_POSITIONS angstrom
Re 2.120 -0.287 1.206
Re -0.352 2.151 1.131
Re -1.188 -1.149 1.816
Pb 0.579 0.715 4.152
Zr 0.000 0.000 0.000
```

# 9
Entry from Alexandria: PaGaCoSi after structural relaxation (GGA-PBE). Values from VASP.

## Properties
Magnetic moment ... 0.0 μB/cell
D(E_F) ... 4.51 states/eV per cell
Raw total energy ... -6.530 eV/atom
Space-group type ... Cm (8)
E_form (uncorrected) ... -0.2672 eV/atom

```
&SYSTEM
  ibrav = 0, nat = 4, ntyp = 4
/
ATOMIC_SPECIES
Co 58.93 Co.upf
Ga 69.72 Ga.upf
Si 28.09 Si.upf
Pa 231.04 Pa.upf
CELL_PARAMETERS angstrom
-2.344 0.898 2.997
2.192 -3.211 0.127
3.595 4.879 1.349
ATOMIC_POSITIONS angstrom
Co 1.726 -1.342 1.752
Ga 1.268 3.098 2.613
Si 0.889 0.496 3.096
Pa 0.114 -0.176 0.142
```

# 10
Entry from Alexandria: DyNiRh after structural relaxation (GGA-PBE). Values from VASP.

## Properties
Magnetic moment ... 0.0 μB/cell
D(E_F) ... 1.85 states/eV per cell
Raw total energy ... -6.461 eV/atom
Energy relative to the elements ... -0.5491 eV/atom
Space-group type ... P-6m2 (187)

```
&SYSTEM
  ibrav = 0, nat = 3, ntyp = 3
/
ATOMIC_SPECIES
Dy 162.50 Dy.upf
Rh 102.91 Rh.upf
Ni 58.69 Ni.upf
CELL_PARAMETERS angstrom
-3.093 -0.994 -1.865
-0.639 -3.063 2.692
-1.620 3.732 0.697
ATOMIC_POSITIONS angstrom
Dy -3.028 -1.461 0.784
Rh -1.808 1.301 1.051
Ni -0.515 -0.166 -0.311
```

# 11
Entry from Alexandria: CdSiCl after structural relaxation (GGA-PBE). Values from VASP.

## Properties
Magnetic moment ... 0.0 μB/cell
D(E_F) ... 0.79 states/eV per cell
Raw total energy ... -2.849 eV/atom
Space-group type ... Imm2 (44)
E_form (uncorrected) ... -0.1203 eV/atom
ΔE to the lowest computed polymorph ... 0.00 kcal/mol of atoms

```
&SYSTEM
  ibrav = 0, nat = 3, ntyp = 3
/
ATOMIC_SPECIES
Si 28.09 Si.upf
Cl 35.45 Cl.upf
Cd 112.41 Cd.upf
CELL_PARAMETERS angstrom
6.219 0.012 0.009
3.760 4.954 -0.009
-4.710 -3.046 2.687
ATOMIC_POSITIONS angstrom
Si 5.530 2.752 0.000
Cl 3.588 1.786 0.000
Cd 0.861 0.428 0.000
```

# 12
Entry from Alexandria: Li2Er2TeO6 after structural relaxation (GGA-PBE). Values from VASP.

## Properties
Magnetic moment ... 0.0 μB/cell
D(E_F) ... 0.00 states/eV per cell
Raw total energy ... -6.484 eV/atom
Space-group type ... C2/m (12)
E_form (uncorrected) ... -2.3161 eV/atom

```
&SYSTEM
  ibrav = 0, nat = 11, ntyp = 4
/
ATOMIC_SPECIES
Er 167.26 Er.upf
Li 6.94 Li.upf
O 16.00 O.upf
Te 127.60 Te.upf
CELL_PARAMETERS angstrom
-2.740 -0.133 5.198
1.757 -4.954 -2.629
4.721 1.590 1.732
ATOMIC_POSITIONS angstrom
Er 1.131 -0.957 3.435
Li -2.079 -0.841 4.048
O -0.218 -2.763 3.836
O 1.035 -0.875 1.134
O 1.301 -4.391 1.193
O 2.437 0.895 3.108
O 2.703 -2.621 3.167
Li 1.097 -4.246 -1.480
Er 2.607 -2.540 0.866
O 3.956 -0.733 0.465
Te 2.360 0.795 0.866
```

# 13
Entry from Alexandria: Tb2NdGe2Pt7 after structural relaxation (GGA-PBE). Values from VASP.

## Properties
Magnetic moment ... 0.0 μB/cell
D(E_F) ... 5.39 states/eV per cell
Raw total energy ... -6.389 eV/atom
Energy relative to the elements ... -0.9269 eV/atom
Space-group type ... C2/m (12)

```
&SYSTEM
  ibrav = 0, nat = 12, ntyp = 4
/
ATOMIC_SPECIES
Nd 144.24 Nd.upf
Pt 195.08 Pt.upf
Tb 158.93 Tb.upf
Ge 72.64 Ge.upf
CELL_PARAMETERS angstrom
4.101 0.025 -0.061
0.030 4.101 -0.061
1.824 1.822 13.898
ATOMIC_POSITIONS angstrom
Nd 0.000 0.000 0.000
Pt 4.144 2.105 2.148
Pt 3.661 3.657 7.798
Pt 1.811 3.843 11.627
Tb 4.277 4.272 4.893
Tb 1.678 1.676 8.882
Ge 2.116 2.113 3.573
Pt 3.845 1.806 11.627
Ge 3.839 3.835 10.202
Pt 2.294 2.291 5.977
Pt 2.065 2.063 -0.061
Pt 2.110 4.142 2.148
```

# 14
Entry from Alexandria: MgScB after structural relaxation (GGA-PBE). Values from VASP.

## Properties
Magnetic moment ... 0.0 μB/cell
D(E_F) ... 0.00 states/eV per cell
Raw total energy ... -4.869 eV/atom
Energy relative to the elements ... -0.0008 eV/atom
Space-group type ... Pnma (62)
ΔE to the lowest computed polymorph ... 9.79 kcal/mol of atoms

```
&SYSTEM
  ibrav = 0, nat = 12, ntyp = 3
/
ATOMIC_SPECIES
Mg 24.30 Mg.upf
B 10.81 B.upf
Sc 44.96 Sc.upf
CELL_PARAMETERS angstrom
-5.045 -2.352 -5.049
-0.213 -3.781 1.974
-4.510 2.097 3.530
ATOMIC_POSITIONS angstrom
Mg -5.936 -0.900 -0.053
Mg -3.831 -3.137 0.509
B -2.095 -1.590 -0.962
Sc -2.533 -0.509 1.062
B -3.555 -2.012 2.693
Mg -5.578 -4.673 -2.623
Mg -4.190 0.637 3.078
Sc -7.235 -3.527 -0.607
Sc -5.878 -1.809 2.830
B -7.673 -2.446 1.417
B -6.213 -2.024 -2.237
Sc -3.890 -2.227 -2.374
```